Density functional theory data (SCAN) for Ta6Pb4O19 at its PBEsol-relaxed geometry.

Cell lengths 12.8987, 12.8987, 12.8987 Å; angles 146.53, 59.99, 131.76 degrees
Closest atoms and distances in Å follow each position.
Fractional coordinates of all 58 atoms:
Ta: 0.0000 0.0000 0.0000  6 O 1.96-1.99
Ta: 0.1674 0.0020 0.1654  6 O 1.91-2.04
Ta: 0.1682 0.0000 0.6682  6 O 1.97-2.00
Ta: 0.1682 0.5000 0.1682  6 O 1.97-2.00
Ta: 0.3366 0.0020 0.3346  6 O 1.91-2.04
Ta: 0.5000 0.0000 0.0000  6 O 1.97-1.98
Ta: 0.5000 0.0000 0.5000  6 O 1.96-1.99
Ta: 0.5000 0.5000 0.5000  6 O 1.97-1.98
Ta: 0.6634 0.9980 0.6654  6 O 1.91-2.04
Ta: 0.8318 0.0000 0.3318  6 O 1.97-2.00
Ta: 0.8318 0.5000 0.8318  6 O 1.97-2.00
Ta: 0.8326 0.9980 0.8346  6 O 1.91-2.04
Pb: 0.0000 0.0000 0.5000  8 O 2.50-2.68
Pb: 0.0000 0.5000 0.0000  8 O 2.50-2.68
Pb: 0.0000 0.5000 0.5000  6 O 2.63-2.65
Pb: 0.1827 0.5168 0.6659  1 O 2.20
Pb: 0.3509 0.5168 0.8341  1 O 2.20
Pb: 0.5000 0.5000 0.0000  6 O 2.63-2.65
Pb: 0.6491 0.4832 0.1659  1 O 2.20
Pb: 0.8173 0.4832 0.3341  1 O 2.20
O: 0.0203 0.0659 0.3395  2 Ta 2.00-2.01
O: 0.0203 0.6808 0.9544  2 Ta 2.00-2.01
O: 0.0997 0.3171 0.1753  2 Ta 1.97-1.99
O: 0.0997 0.9244 0.7827  2 Ta 1.97-1.99
O: 0.1036 0.6841 0.4195  2 Ta 1.98
O: 0.1388 0.0551 0.0837  2 Ta 1.91-1.96
O: 0.1581 0.4081 0.7500  2 Pb 2.20
O: 0.1792 0.9292 0.2500  2 Ta 2.04
O: 0.2264 0.0659 0.5456  2 Ta 2.00-2.01
O: 0.2264 0.6808 0.1605  2 Ta 2.00-2.01
O: 0.2354 0.3159 0.9195  2 Ta 1.98
O: 0.3107 0.3136 0.3803  2 Ta 1.97
O: 0.3107 0.9305 0.9971  2 Ta 1.97
O: 0.3583 0.0756 0.6753  2 Ta 1.97-1.99
O: 0.3583 0.6829 0.2827  2 Ta 1.97-1.99
O: 0.4334 0.3136 0.5029  2 Ta 1.97
O: 0.4334 0.9305 0.1197  2 Ta 1.97
O: 0.4341 0.6841 0.7500  2 Ta 1.98
O: 0.4714 0.0551 0.4163  2 Ta 1.91-1.96
O: 0.5286 0.9449 0.5837  2 Ta 1.91-1.96
O: 0.5659 0.3159 0.2500  2 Ta 1.98
O: 0.5666 0.0695 0.8803  2 Ta 1.97
O: 0.5666 0.6864 0.4971  2 Ta 1.97
O: 0.6417 0.3171 0.7173  2 Ta 1.97-1.99
O: 0.6417 0.9244 0.3247  2 Ta 1.97-1.99
O: 0.6893 0.0695 0.0029  2 Ta 1.97
O: 0.6893 0.6864 0.6197  2 Ta 1.97
O: 0.7646 0.6841 0.0805  2 Ta 1.98
O: 0.7736 0.3192 0.8395  2 Ta 2.00-2.01
O: 0.7736 0.9341 0.4544  2 Ta 2.00-2.01
O: 0.8208 0.0708 0.7500  2 Ta 2.04
O: 0.8419 0.5919 0.2500  2 Pb 2.20
O: 0.8612 0.9449 0.9163  2 Ta 1.91-1.96
O: 0.8964 0.3159 0.5805  2 Ta 1.98
O: 0.9003 0.0756 0.2173  2 Ta 1.97-1.99
O: 0.9003 0.6829 0.8247  2 Ta 1.97-1.99
O: 0.9797 0.3192 0.0456  2 Ta 2.00-2.01
O: 0.9797 0.9341 0.6605  2 Ta 2.00-2.01

formation energy without anion corrections = -2.59 eV/atom
total DFT energy (no corrections) = -30.902 eV per atom
ΔE to the lowest computed polymorph = 0.000 eV/atom
total magnetization = 0.0 μB/cell

Density functional theory data (SCAN) for Ta8Pb6O25 at its PBEsol-relaxed geometry.

Cell lengths 7.4656, 7.4656, 10.4902 Å; angles 90.09, 90.09, 90.31 degrees
Closest atoms and distances in Å follow each position.
Fractional coordinates of all 39 atoms:
Ta: 0.1221 0.1221 0.3733  6 O 1.95-2.01
Ta: 0.1241 0.6229 0.3740  6 O 1.95-2.01
Ta: 0.3734 0.3672 0.1220  6 O 1.92-2.03
Ta: 0.3771 0.8759 0.6260  6 O 1.95-2.01
Ta: 0.6273 0.1223 0.8767  6 O 1.92-2.05
Ta: 0.6328 0.6266 0.8780  6 O 1.92-2.03
Ta: 0.8777 0.3727 0.1233  6 O 1.92-2.05
Ta: 0.8779 0.8779 0.6267  6 O 1.95-2.01
Pb: 0.1391 0.6462 0.8884  6 O 2.62-2.85
Pb: 0.3538 0.8609 0.1116  6 O 2.62-2.85
Pb: 0.3736 0.3707 0.6333  3 O 2.35-2.59
Pb: 0.6243 0.1233 0.3663  2 O 2.34-2.60
Pb: 0.6293 0.6264 0.3667  3 O 2.35-2.59
Pb: 0.8767 0.3757 0.6337  2 O 2.34-2.60
O: 0.1250 0.3859 0.0652  2 Ta 1.95
O: 0.1260 0.8673 0.6847  2 Ta 1.95-1.97
O: 0.1284 0.3733 0.4429  2 Ta 2.00-2.01
O: 0.1327 0.8740 0.3153  2 Ta 1.95-1.97
O: 0.3129 0.1868 0.2508  2 Ta 1.96-1.98
O: 0.3136 0.5648 0.2484  2 Ta 1.98-2.03
O: 0.3176 0.0671 0.4995  2 Ta 2.00-2.01
O: 0.3189 0.6811 0.5000  2 Ta 2.01
O: 0.4352 0.6864 0.7516  2 Ta 1.98-2.03
O: 0.4374 0.1838 0.0014  2 Ta 1.92-1.99
O: 0.4401 0.5599 0.0000  2 Ta 1.99
O: 0.4420 0.0688 0.7432  2 Ta 1.95-2.01
O: 0.6141 0.8750 0.9348  2 Ta 1.95
O: 0.6232 0.3760 0.1958  2 Ta 2.02-2.05
O: 0.6240 0.3768 0.8042  2 Ta 2.02-2.05
O: 0.6259 0.3741 0.5000  4 Pb 2.34-2.35
O: 0.6267 0.8716 0.5571  2 Ta 2.00-2.01
O: 0.8040 0.1960 0.0000  2 Ta 1.92
O: 0.8105 0.0656 0.7468  2 Ta 1.95-1.98
O: 0.8132 0.6871 0.7492  2 Ta 1.96-1.98
O: 0.8162 0.5626 0.9986  2 Ta 1.92-1.99
O: 0.9312 0.5580 0.2568  2 Ta 1.95-2.01
O: 0.9330 0.0670 0.5000  2 Ta 1.98
O: 0.9329 0.6824 0.5005  2 Ta 2.00-2.01
O: 0.9344 0.1895 0.2532  2 Ta 1.95-1.98

formation energy without anion corrections = -2.56 eV/atom
total DFT energy (no corrections) = -31.876 eV per atom
total magnetization = 0.0 μB/cell

Density functional theory data (SCAN) for Ta2PbO6 at its PBEsol-relaxed geometry.

Cell lengths 11.0662, 7.6448, 5.6650 Å; angles 90.00, 90.00, 90.00 degrees
Closest atoms and distances in Å follow each position.
Fractional coordinates of all 36 atoms:
Ta: 0.1425 0.0033 0.0375  6 O 1.92-2.11
Ta: 0.1425 0.4967 0.0375  6 O 1.92-2.11
Ta: 0.3575 0.5033 0.5375  6 O 1.92-2.11
Ta: 0.3575 0.9967 0.5375  6 O 1.92-2.11
Ta: 0.6425 0.0033 0.4625  6 O 1.92-2.11
Ta: 0.6425 0.4967 0.4625  6 O 1.92-2.11
Ta: 0.8575 0.5033 0.9625  6 O 1.92-2.11
Ta: 0.8575 0.9967 0.9625  6 O 1.92-2.11
Pb: 0.0382 0.7500 0.5382  8 O 2.54-2.71
Pb: 0.4618 0.2500 0.0382  8 O 2.54-2.71
Pb: 0.5382 0.7500 0.9618  8 O 2.54-2.71
Pb: 0.9618 0.2500 0.4618  8 O 2.54-2.71
O: 0.0224 0.0358 0.7839  2 Ta 1.97-2.11
O: 0.0224 0.4642 0.7839  2 Ta 1.97-2.11
O: 0.1306 0.2500 0.1372  2 Ta 1.97
O: 0.1467 0.7500 0.9675  2 Ta 1.98
O: 0.2158 0.5489 0.3530  2 Ta 1.92-2.00
O: 0.2158 0.9511 0.3530  2 Ta 1.92-2.00
O: 0.2842 0.0489 0.8530  2 Ta 1.92-2.00
O: 0.2842 0.4511 0.8530  2 Ta 1.92-2.00
O: 0.3533 0.2500 0.4675  2 Ta 1.98
O: 0.3694 0.7500 0.6372  2 Ta 1.97
O: 0.4776 0.5358 0.2839  2 Ta 1.97-2.11
O: 0.4776 0.9642 0.2839  2 Ta 1.97-2.11
O: 0.5224 0.0358 0.7161  2 Ta 1.97-2.11
O: 0.5224 0.4642 0.7161  2 Ta 1.97-2.11
O: 0.6306 0.2500 0.3628  2 Ta 1.97
O: 0.6467 0.7500 0.5325  2 Ta 1.98
O: 0.7158 0.5489 0.1470  2 Ta 1.92-2.00
O: 0.7158 0.9511 0.1470  2 Ta 1.92-2.00
O: 0.7842 0.0489 0.6470  2 Ta 1.92-2.00
O: 0.7842 0.4511 0.6470  2 Ta 1.92-2.00
O: 0.8533 0.2500 0.0325  2 Ta 1.98
O: 0.8694 0.7500 0.8628  2 Ta 1.97
O: 0.9776 0.5358 0.2161  2 Ta 1.97-2.11
O: 0.9776 0.9642 0.2161  2 Ta 1.97-2.11

formation energy without anion corrections = -2.71 eV/atom
total DFT energy (no corrections) = -30.078 eV per atom
ΔE to the lowest computed polymorph = 0.000 eV/atom
total magnetization = 0.0 μB/cell